Material: Ba6Ag2Pt
Method: DFT, PBE
State: optimized geometry

Unit cell a=7.899 b=8.858 c=13.983 alpha=90.00 beta=122.69 gamma=90.00
Fractional coordinates of all 18 atoms:
Ag 0.810 0.386 0.755
Ag 0.810 0.114 0.255
Ag 0.190 0.886 0.745
Ag 0.190 0.614 0.245
Ba 0.111 0.828 0.436
Ba 0.600 0.040 0.746
Ba 0.400 0.960 0.254
Ba 0.400 0.540 0.754
Ba 0.269 0.310 0.431
Ba 0.731 0.690 0.569
Ba 0.889 0.328 0.064
Ba 0.731 0.810 0.069
Ba 0.889 0.172 0.564
Ba 0.111 0.672 0.936
Ba 0.600 0.460 0.246
Ba 0.269 0.190 0.931
Pt 0.500 0.500 0.000
Pt 0.500 0.000 0.500

**Spin magnetization**: 0.0 μB per formula unit
**V**: 45.75 A^3/atom
**Final energy**: -26.4 eV per formula unit
**Symmetry**: No. 14